CdAu3 PBE-GGA relaxed; SG = I4/mmm (139)
1.0
-3.198 -1.444 2.254
1.865 -3.722 0.262
3.273 -0.104 8.437
Au Cd
6 2
Direct
0.877 0.877 0.245
0.750 0.250 0.500
0.123 0.123 0.755
0.500 0.000 0.000
0.250 0.750 0.500
0.000 0.500 0.000
0.627 0.627 0.746
0.373 0.373 0.254

=====

CdAu5 PBE-GGA relaxed; SG = F-43m (216)
1.0
0.000 3.906 3.906
3.906 0.000 3.906
3.906 3.906 0.000
Au Cd
5 1
Direct
0.375 0.375 0.375
0.750 0.750 0.750
0.375 0.875 0.375
0.875 0.375 0.375
0.375 0.375 0.875
0.000 0.000 0.000

=====

Cd2Au PBE-GGA relaxed; SG = Cmcm (63)
1.0
3.464 0.000 0.000
1.732 7.399 0.000
0.000 0.000 4.825
Au Cd
2 4
Direct
0.000 0.000 0.000
0.556 0.888 0.500
0.215 0.570 0.500
0.662 0.677 0.000
0.340 0.319 0.000
0.894 0.212 0.500

=====

| no. | DFT formation energy (eV/atom) | energy (eV/atom) |
| --- | --- | --- |
| 1 | -0.123 | -2.810 |
| 2 | 0.029 | -2.855 |
| 3 | -0.069 | -1.772 |